Entry 1:
VASP calculation (PBE-GGA) on crystalline SrBeRe2 at its relaxed geometry.

Structure (CIF):
```
data_SrBeRe2
_chemical_formula_sum 'Sr2 Be2 Re4'
_symmetry_space_group_name_H-M 'P 1'
_symmetry_Int_Tables_number 1
_cell_length_a 9.2202
_cell_length_b 9.2202
_cell_length_c 9.2202
_cell_angle_alpha 151.35
_cell_angle_beta 151.35
_cell_angle_gamma 40.96
loop_
_symmetry_equiv_pos_as_xyz
'x,y,z'
loop_
_atom_site_label
_atom_site_type_symbol
_atom_site_fract_x
_atom_site_fract_y
_atom_site_fract_z
Sr1 Sr 0.0000 0.0000 0.0000
Sr2 Sr 0.7500 0.2500 0.5000
Be1 Be 0.2500 0.7500 0.5000
Be2 Be 0.5000 0.5000 0.0000
Re1 Re 0.3031 0.6250 0.1781
Re2 Re 0.3750 0.5531 0.6781
Re3 Re 0.4469 0.1250 0.8219
Re4 Re 0.8750 0.6969 0.3219
```

Calculated values
Formation enthalpy at 0 K (eV/atom): 1.054
Symmetry: I-42d (122)
Size of the total moment (μB/atom): 0.0000

Entry 2:
VASP calculation (PBE-GGA) on crystalline Be2CuGe2 at its relaxed geometry.

Structure (CIF):
```
data_Be2CuGe2
_chemical_formula_sum 'Be4 Cu2 Ge4'
_symmetry_space_group_name_H-M 'P 1'
_symmetry_Int_Tables_number 1
_cell_length_a 6.0807
_cell_length_b 6.0807
_cell_length_c 3.5512
_cell_angle_alpha 90.00
_cell_angle_beta 90.00
_cell_angle_gamma 90.00
loop_
_symmetry_equiv_pos_as_xyz
'x,y,z'
loop_
_atom_site_label
_atom_site_type_symbol
_atom_site_fract_x
_atom_site_fract_y
_atom_site_fract_z
Be1 Be 0.1283 0.3717 0.0000
Be2 Be 0.3717 0.8717 0.0000
Be3 Be 0.6283 0.1283 0.0000
Be4 Be 0.8717 0.6283 0.0000
Cu1 Cu 0.0000 0.0000 0.0000
Cu2 Cu 0.5000 0.5000 0.0000
Ge1 Ge 0.1703 0.6703 0.5000
Ge2 Ge 0.3297 0.1703 0.5000
Ge3 Ge 0.6703 0.8297 0.5000
Ge4 Ge 0.8297 0.3297 0.5000
```

Calculated values
Formation enthalpy at 0 K (eV/atom): 0.318
Symmetry: P4/mbm (127)
E above lowest polymorph (meV per atom): 0.0
Size of the total moment (μB/atom): 0.0000

Entry 3:
VASP calculation (PBE-GGA) on crystalline Dy2GaP at its relaxed geometry.

Structure (CIF):
```
data_Dy2GaP
_chemical_formula_sum 'Dy2 Ga1 P1'
_symmetry_space_group_name_H-M 'P 1'
_symmetry_Int_Tables_number 1
_cell_length_a 9.5522
_cell_length_b 9.5522
_cell_length_c 9.5522
_cell_angle_alpha 22.74
_cell_angle_beta 22.74
_cell_angle_gamma 22.74
loop_
_symmetry_equiv_pos_as_xyz
'x,y,z'
loop_
_atom_site_label
_atom_site_type_symbol
_atom_site_fract_x
_atom_site_fract_y
_atom_site_fract_z
Dy1 Dy 0.1084 0.1084 0.1084
Dy2 Dy 0.8916 0.8916 0.8916
Ga1 Ga 0.0000 0.0000 0.0000
P1 P 0.5000 0.5000 0.5000
```

Calculated values
Formation enthalpy at 0 K (eV/atom): -0.561
Symmetry: R-3m (166)
E above lowest polymorph (meV per atom): 553.5
Size of the total moment (μB/atom): 0.0001

Q: The lowest formation enthalpy at 0 K belongs to which entry?
A: Dy2GaP